First-principles (PBE-GGA) data for crystalline Y11Ga9Co4 at its relaxed geometry, as listed in the Alexandria database.

a b c (Å): 13.7597 20.5833 3.5860
angles (deg): 90.00 90.00 90.00
Space group Cmmm (No. 65)
Unique sites:
Y 0.0000 0.0000 0.0000 (multiplicity 2)
Y 0.0000 0.1691 0.0000 (multiplicity 4)
Y 0.0000 0.3753 0.0000 (multiplicity 4)
Y 0.1895 0.5000 0.0000 (multiplicity 4)
Y 0.2438 0.1699 0.0000 (multiplicity 8)
Ga 0.0000 0.5000 0.5000 (multiplicity 2)
Ga 0.1023 0.2700 0.5000 (multiplicity 8)
Ga 0.1513 0.0692 0.5000 (multiplicity 8)
Co 0.1556 0.3982 0.5000 (multiplicity 8)

Computed properties:
Total magnetic moment   0.00 Bohr magnetons per cell
Formation energy from the elements   -12.5 eV/f.u.